# 1
# GGA-PBE NbAlHPd2, relaxed
# Spin magnetization, μB/f.u.: 0.00
# DFT total energy, eV/atom: -5.766
# Mass density, g/cm³: 8.32
data_NbAlHPd2
_space_group_name_H-M_alt 'P 4/m m m'
_space_group_IT_number 123
_space_group_name_Hall '-P 4 2'
_cell_length_a 3.939
_cell_length_b 3.939
_cell_length_c 4.292
_cell_angle_alpha 90.00
_cell_angle_beta 90.00
_cell_angle_gamma 90.00
loop_
_atom_site_label
_atom_site_type_symbol
_atom_site_fract_x
_atom_site_fract_y
_atom_site_fract_z
Nb1 Nb 0.000 0.000 0.000
Al1 Al 0.500 0.500 0.000
H1 H 0.000 0.000 0.500
Pd1 Pd 0.000 0.500 0.500

***

# 2
# GGA-PBE MnPtI3, relaxed
# Relative energy among the computed polymorphs, meV per atom: 0
# Spin magnetization, μB/f.u.: 5.68
# DFT total energy, eV/atom: -3.574
# Mass density, g/cm³: 6.26
data_MnPtI3
_space_group_name_H-M_alt 'P m -3 m'
_space_group_IT_number 221
_space_group_name_Hall '-P 4 2 3'
_cell_length_a 5.511
_cell_length_b 5.511
_cell_length_c 5.511
_cell_angle_alpha 90.00
_cell_angle_beta 90.00
_cell_angle_gamma 90.00
loop_
_atom_site_label
_atom_site_type_symbol
_atom_site_fract_x
_atom_site_fract_y
_atom_site_fract_z
Mn1 Mn 0.000 0.000 0.000
Pt1 Pt 0.500 0.500 0.500
I1 I 0.000 0.500 0.500

***

# 3
# GGA-PBE NaHoUO4, relaxed
# Spin magnetization, μB/f.u.: 2.00
# DFT total energy, eV/atom: -8.234
# Mass density, g/cm³: 6.96
data_NaHoUO4
_space_group_name_H-M_alt 'I m m a'
_space_group_IT_number 74
_space_group_name_Hall '-I 2b 2'
_cell_length_a 6.871
_cell_length_b 6.991
_cell_length_c 9.733
_cell_angle_alpha 90.00
_cell_angle_beta 90.00
_cell_angle_gamma 90.00
loop_
_atom_site_label
_atom_site_type_symbol
_atom_site_fract_x
_atom_site_fract_y
_atom_site_fract_z
Na1 Na 0.000 0.250 0.130
Ho1 Ho 0.250 0.250 0.750
U1 U 0.000 0.000 0.500
O1 O 0.000 0.036 0.726
O2 O 0.214 0.250 0.516

***

# 4
# GGA-PBE Ac2PbI, relaxed
# Relative energy among the computed polymorphs, meV per atom: 109
# Spin magnetization, μB/f.u.: 0.01
# DFT total energy, eV/atom: -4.073
# Mass density, g/cm³: 9.08
data_Ac2PbI
_space_group_name_H-M_alt 'P 4/m m m'
_space_group_IT_number 123
_space_group_name_Hall '-P 4 2'
_cell_length_a 4.074
_cell_length_b 4.074
_cell_length_c 8.680
_cell_angle_alpha 90.00
_cell_angle_beta 90.00
_cell_angle_gamma 90.00
loop_
_atom_site_label
_atom_site_type_symbol
_atom_site_fract_x
_atom_site_fract_y
_atom_site_fract_z
Ac1 Ac 0.000 0.000 0.235
Pb1 Pb 0.500 0.500 0.000
I1 I 0.500 0.500 0.500

***

# 5
# GGA-PBE Na2PPt2, relaxed
# Relative energy among the computed polymorphs, meV per atom: 0
# Spin magnetization, μB/f.u.: 0.00
# DFT total energy, eV/atom: -4.583
# E_form, eV per formula unit: -2.8
# Mass density, g/cm³: 7.80
data_Na2PPt2
_space_group_name_H-M_alt 'C 1 2/c 1'
_space_group_IT_number 15
_cell_length_a 9.180
_cell_length_b 5.975
_cell_length_c 7.341
_cell_angle_alpha 90.00
_cell_angle_beta 98.77
_cell_angle_gamma 90.00
loop_
_space_group_symop_operation_xyz
'x,y,z'
'-x,-y,-z'
'-x,y,-z+1/2'
'x,-y,z+1/2'
'x+1/2,y+1/2,z'
'-x+1/2,-y+1/2,-z'
'-x+1/2,y+1/2,-z+1/2'
'x+1/2,-y+1/2,z+1/2'
loop_
_atom_site_label
_atom_site_type_symbol
_atom_site_fract_x
_atom_site_fract_y
_atom_site_fract_z
Na1 Na 0.148 0.114 0.149
P1 P 0.000 0.434 0.750
Pt1 Pt 0.125 0.365 0.501